Entry 1:
This record from Alexandria describes a relaxed structure of Y2HgBr. The functional is PBE-GGA.

Computed properties:
Space group   P4mm, No. 99
Energy relative to the elements, uncorrected   -0.725 eV per atom
Energy above the lowest structure with this stoichiometry   0 meV per atom

```
4
Lattice="4.2420 -0.0028 0.0000 0.0028 4.2420 0.0000 0.0000 0.0000 6.0447" Properties=species:S:1:pos:R:3 pbc="T T T"
Y 0.0000 0.0000 5.2926
Y 2.1224 2.1196 2.2632
Hg 2.1224 2.1196 5.2858
Br 0.0000 0.0000 2.2703
```

---

Entry 2:
This record from Alexandria describes a relaxed structure of CaZn2Cl. The functional is PBE-GGA.

Computed properties:
Space group   Cmmm, No. 65
Energy relative to the elements, uncorrected   -0.516 eV per atom
Energy above the lowest structure with this stoichiometry   185 meV per atom

```
4
Lattice="-0.7865 -2.7926 4.7298 -2.8455 -1.1322 -4.6270 2.6472 -2.4764 -1.0220" Properties=species:S:1:pos:R:3 pbc="T T T"
Zn 0.0000 0.0000 0.0000
Zn -1.8160 -1.9624 0.0514
Ca 0.9303 -2.6345 1.8539
Cl -0.0992 -1.8043 -2.8245
```

---

Entry 3:
This record from Alexandria describes a relaxed structure of Ac3Zn2Ni4. The functional is PBE-GGA.

Computed properties:
Space group   C2/m, No. 12
Energy above the lowest structure with this stoichiometry   4 meV per atom

```
9
Lattice="-2.0046 3.6876 -0.2647 -2.6504 -3.5383 4.1887 6.3030 3.7437 4.4220" Properties=species:S:1:pos:R:3 pbc="T T T"
Ac 2.1001 3.8366 4.1355
Ac 0.0000 0.0000 0.0000
Ac -0.4521 0.0564 4.2106
Zn -0.1025 2.4930 2.0980
Zn 1.7506 1.4000 6.2480
Ni -2.2809 1.2938 1.8889
Ni 3.9289 2.5992 6.4571
Ni -0.4331 2.6013 6.1112
Ni 2.0811 1.2917 2.2349
```

---

Entry 4:
This record from Alexandria describes a relaxed structure of PrDyTm3Th. The functional is PBE-GGA.

Computed properties:
Space group   P2_1/m, No. 11
DFT total energy   -60.15 eV for the cell shown

```
12
Lattice="3.5576 0.0000 0.0000 0.0000 10.6399 -0.3009 0.0000 -3.1755 10.1175" Properties=species:S:1:pos:R:3 pbc="T T T"
Pr 0.8894 0.4263 2.9099
Pr 2.6682 7.0380 6.9068
Dy 0.8894 -0.6002 6.3022
Dy 2.6682 8.0645 3.5145
Tm 2.6682 9.1292 0.1460
Tm 0.8894 -1.6649 9.6707
Tm 0.8894 5.1782 4.4275
Tm 2.6682 2.2861 5.3892
Tm 2.6682 3.3987 1.9693
Tm 0.8894 4.0656 7.8474
Th 0.8894 6.2575 1.0571
Th 2.6682 1.2069 8.7596
```

---

Entry 5:
This record from Alexandria describes a relaxed structure of NpPbS2. The functional is PBE-GGA.

Computed properties:
Space group   R-3m, No. 166
Energy relative to the elements, uncorrected   -0.915 eV per atom

```
4
Lattice="3.9329 0.0000 0.0000 1.9665 3.4060 0.0000 1.9665 1.1353 8.7915" Properties=species:S:1:pos:R:3 pbc="T T T"
Np 3.9329 2.2707 4.3957
Pb 0.0000 0.0000 0.0000
S 1.9665 1.1353 5.8600
S 5.8994 3.4060 2.9314
```

---

Entry 6:
This record from Alexandria describes a relaxed structure of Cd2CuRu. The functional is PBE-GGA.

Computed properties:
Space group   P2/m, No. 10
Energy above the lowest structure with this stoichiometry   69 meV per atom

```
4
Lattice="3.8466 0.0000 0.0000 0.0000 2.9371 0.0346 0.0000 2.8456 5.9661" Properties=species:S:1:pos:R:3 pbc="T T T"
Cd 0.0000 2.9393 0.0524
Cd 0.0000 2.8892 2.9826
Cu 1.9233 1.4457 1.5002
Ru 1.9233 4.3371 4.5005
```

---

Entry 7:
This record from Alexandria describes a relaxed structure of Na3Tl8Pb3. The functional is PBE-GGA.

Computed properties:
Space group   Immm, No. 71
DFT total energy   -34.41 eV for the cell shown

```
14
Lattice="5.2257 0.0002 1.0354 2.3594 9.0753 1.7945 0.8378 -0.7967 9.4770" Properties=species:S:1:pos:R:3 pbc="T T T"
Na 4.2115 4.1394 6.1535
Na 4.7838 1.8035 3.2652
Na 3.6391 6.4753 9.0418
Tl 4.1002 0.1819 6.7173
Tl 4.3227 8.0969 5.5896
Tl 4.9347 5.5993 2.5014
Tl 3.4882 2.6796 9.8056
Tl 6.7519 6.4149 7.0342
Tl 1.6710 1.8639 5.2728
Tl 6.3777 3.9823 8.9274
Tl 2.0453 4.2965 3.3796
Pb 2.6129 0.0001 0.5177
Pb 7.3535 7.5736 3.9987
Pb 1.0694 0.7052 8.3083
```

---

Entry 8:
This record from Alexandria describes a relaxed structure of BaSrPtPbCl. The functional is PBE-GGA.

Computed properties:
Space group   Cm, No. 8
Energy relative to the elements, uncorrected   -1.042 eV per atom
Energy above the lowest structure with this stoichiometry   145 meV per atom

```
10
Lattice="-2.7609 3.4727 -6.8452 3.5902 -1.2162 -2.0651 -1.8977 -10.8304 3.0792" Properties=species:S:1:pos:R:3 pbc="T T T"
Pb -2.5249 3.1676 -6.2553
Pb -1.6786 -2.8557 -5.7482
Sr -1.8322 -8.1975 1.6424
Sr 0.9117 -3.3903 -0.9298
Ba -1.8535 -0.3726 -3.0030
Ba -1.0072 -6.3960 -2.4959
Pt -1.3711 -5.2148 0.6874
Pt 1.3728 -0.4077 -1.8848
Cl -2.1684 -3.3116 -1.8196
Cl -1.3221 -9.3349 -1.3125
```

---

Number 1: total magnetic moment 0.000 μB per cell, volume 109 Å³/cell. Number 2: total magnetic moment 0.000 μB per cell, volume 98 Å³/cell. Number 3: total magnetic moment 0.000 μB per cell, volume 200 Å³/cell. Number 4: total magnetic moment 0.000 μB per cell, volume 380 Å³/cell. Number 5: total magnetic moment 3.696 μB per cell, volume 118 Å³/cell. Number 6: total magnetic moment 0.900 μB per cell, volume 67 Å³/cell. Number 7: total magnetic moment 0.000 μB per cell, volume 447 Å³/cell. Number 8: total magnetic moment 0.000 μB per cell, volume 329 Å³/cell.